Record 1
{"formula": "CsTlGa2Pt", "functional": "PBE", "state": "relaxed", "volume_a3_per_atom": 29.0, "spacegroup": "P4/mmm, No. 123", "energy_ev_per_atom": -3.1915, "e_form_ev_per_atom": -0.13, "crystal_system": "tetragonal", "lattice_angstrom": [[-2.919, -3.435, -2.151], [3.861, -3.163, -0.189], [-1.435, -2.064, 5.242]], "species": ["Cs", "Tl", "Ga", "Ga", "Pt"], "frac_coords": [[0.500, 0.500, 0.500], [0.000, 0.000, 0.500], [0.000, 0.500, 0.000], [0.500, 0.000, 0.000], [0.000, 0.000, 0.000]]}


Record 2
{"formula": "CsTl2GaPt", "functional": "PBE", "state": "relaxed", "volume_a3_per_atom": 31.8, "spacegroup": "P4/mmm, No. 123", "energy_ev_per_atom": -3.0201, "e_form_ev_per_atom": -0.09, "crystal_system": "tetragonal", "lattice_angstrom": [[5.654, 0.000, 0.000], [0.000, 4.980, 0.000], [0.000, 0.000, 5.654]], "species": ["Cs", "Tl", "Tl", "Ga", "Pt"], "frac_coords": [[0.500, 0.500, 0.500], [0.000, 0.000, 0.500], [0.500, 0.000, 0.000], [0.000, 0.500, 0.000], [0.000, 0.000, 0.000]]}


Record 3
{"formula": "CsPuGaS4", "functional": "PBE", "state": "relaxed", "volume_a3_per_atom": 28.0, "spacegroup": "P2_1/m, No. 11", "energy_ev_per_atom": -6.0979, "raw_formation_energy_ev_per_atom": -1.138, "crystal_system": "monoclinic", "lattice_angstrom": [[6.490, 0.000, -0.223], [0.000, 6.666, 0.000], [-2.847, 0.000, 9.163]], "species": ["Cs", "Cs", "Pu", "Pu", "Ga", "Ga", "S", "S", "S", "S", "S", "S", "S", "S"], "frac_coords": [[0.743, 0.750, 0.945], [0.257, 0.250, 0.055], [0.773, 0.750, 0.450], [0.227, 0.250, 0.550], [0.229, 0.750, 0.343], [0.771, 0.250, 0.657], [0.016, 0.509, 0.687], [0.984, 0.009, 0.313], [0.984, 0.491, 0.313], [0.016, 0.991, 0.687], [0.431, 0.750, 0.191], [0.569, 0.250, 0.809], [0.463, 0.750, 0.578], [0.537, 0.250, 0.422]]}